## CsCeIBr3 (PBE)

Data for a geometry-optimized CsCeIBr3 structure.

Results
N(E_F)   10.3 states/eV/f.u.
Symmetry   No. 63
E_form (uncorrected)   -1.592 eV per atom
Total DFT energy (no corrections)   -3.82 eV/atom

a b c (Å): 7.6938 7.4375 13.9213
angles (deg): 105.49 90.00 90.00
Each line ends with the local moment (μB).
Sites, in units of the cell vectors:
Br 0.7500 0.8607 0.7213  -0.01
Br 0.0000 0.2551 0.0000  -0.01
Br 0.5000 0.7449 0.0000  -0.01
Cs 0.2500 0.7452 0.4905  0.00
Cs 0.7500 0.2548 0.5095  0.00
Br 0.0000 0.7449 0.0000  -0.01
Br 0.2500 0.1393 0.2787  -0.01
I 0.7500 0.7075 0.4150  -0.04
Ce 0.2500 0.0391 0.0781  0.95
Ce 0.7500 0.9609 0.9219  0.95
I 0.2500 0.2925 0.5850  -0.04
Br 0.5000 0.2551 0.0000  -0.01